1.
Density functional theory data (PBE) for a relaxed structure of CaAgSb.

Cell lengths 7.7280, 4.6197, 8.5127 Å; angles 90.00, 90.00, 90.00 degrees
Closest atoms and distances in Å follow each position.
Fractional coordinates of all 12 atoms:
Ca (0.0212, 0.2500, 0.1932)  5 Sb 3.20-3.31, 3 Ag 3.29-3.34
Ca (0.4788, 0.7500, 0.6932)  5 Sb 3.20-3.31, 3 Ag 3.29-3.34
Ca (0.5212, 0.2500, 0.3068)  5 Sb 3.20-3.31, 3 Ag 3.29-3.34
Ca (0.9788, 0.7500, 0.8068)  5 Sb 3.20-3.31, 3 Ag 3.29-3.34
Ag (0.1409, 0.2500, 0.5641)  4 Sb 2.88-3.00
Ag (0.3591, 0.7500, 0.0641)  4 Sb 2.88-3.00
Ag (0.6409, 0.2500, 0.9359)  4 Sb 2.88-3.00
Ag (0.8591, 0.7500, 0.4359)  4 Sb 2.88-3.00
Sb (0.2427, 0.7500, 0.3851)  4 Ag 2.88-3.00, 1 Ca 3.20
Sb (0.2573, 0.2500, 0.8851)  4 Ag 2.88-3.00, 1 Ca 3.20
Sb (0.7427, 0.7500, 0.1149)  4 Ag 2.88-3.00, 1 Ca 3.20
Sb (0.7573, 0.2500, 0.6149)  4 Ag 2.88-3.00, 1 Ca 3.20

***

2.
Density functional theory data (PBE) for a relaxed structure of CaAg12Sb6.

Cell lengths 7.8504, 7.8504, 7.8504 Å; angles 92.02, 92.02, 92.02 degrees
Closest atoms and distances in Å follow each position.
Fractional coordinates of all 19 atoms:
Ca (0.0000, 0.0000, 0.0000)  6 Sb 3.41
Ag (0.1265, 0.5000, 0.8735)  3 Ag 2.86-3.02, 4 Sb 2.86-2.89
Ag (0.1265, 0.8735, 0.5000)  3 Ag 2.86-3.02, 4 Sb 2.86-2.89
Ag (0.2134, 0.5022, 0.5022)  2 Sb 2.80, 4 Ag 3.02-3.10
Ag (0.4978, 0.4978, 0.7866)  2 Sb 2.80, 4 Ag 3.02-3.10
Ag (0.4978, 0.7866, 0.4978)  2 Sb 2.80, 4 Ag 3.02-3.10
Ag (0.5000, 0.1265, 0.8735)  3 Ag 2.86-3.02, 4 Sb 2.86-2.89
Ag (0.5000, 0.8735, 0.1265)  3 Ag 2.86-3.02, 4 Sb 2.86-2.89
Ag (0.5022, 0.2134, 0.5022)  2 Sb 2.80, 4 Ag 3.02-3.10
Ag (0.5022, 0.5022, 0.2134)  2 Sb 2.80, 4 Ag 3.02-3.10
Ag (0.7866, 0.4978, 0.4978)  2 Sb 2.80, 4 Ag 3.02-3.10
Ag (0.8735, 0.1265, 0.5000)  3 Ag 2.86-3.02, 4 Sb 2.86-2.89
Ag (0.8735, 0.5000, 0.1265)  3 Ag 2.86-3.02, 4 Sb 2.86-2.89
Sb (0.1979, 0.1979, 0.6779)  6 Ag 2.80-2.89
Sb (0.1979, 0.6779, 0.1979)  6 Ag 2.80-2.89
Sb (0.3221, 0.8021, 0.8021)  6 Ag 2.80-2.89
Sb (0.6779, 0.1979, 0.1979)  6 Ag 2.80-2.89
Sb (0.8021, 0.3221, 0.8021)  6 Ag 2.80-2.89
Sb (0.8021, 0.8021, 0.3221)  6 Ag 2.80-2.89

***

3.
Density functional theory data (PBE) for a relaxed structure of Ca2Ag2Sb.

Cell lengths 9.1000, 9.1000, 9.1000 Å; angles 154.97, 154.97, 35.69 degrees
Closest atoms and distances in Å follow each position.
Fractional coordinates of all 5 atoms:
Ca (0.1019, 0.1019, 0.0000)  4 Ag 3.24, 4 Sb 3.30, 1 Ca 3.53
Ca (0.8981, 0.8981, 0.0000)  4 Ag 3.24, 4 Sb 3.30, 1 Ca 3.53
Ag (0.2500, 0.7500, 0.5000)  4 Ag 2.79
Ag (0.7500, 0.2500, 0.5000)  4 Ag 2.79
Sb (0.5000, 0.5000, 0.0000)  8 Ca 3.30

ΔE to the lowest computed polymorph = 49 meV per atom

***

Going through the records in order, we get formation energy without anion corrections values of -0.695; 0.053; -0.421 eV per atom.
Going through the records in order, we get DOS(E_F) values of 0.0019; 0.2783; 0.5157 states/eV/atom.